The following is a PBE-GGA calculation of an optimized crystal structure of Na4Ga3Si3BH4O12, from Alexandria.

Results
DFT total energy: -0.2200 Ha/atom
magnetization: 0.0 μB/f.u.
ρ: 2.669 g/cm3
volume: 736.8 Å³/cell

Lattice parameters (Å, degrees): 9.032 9.032 9.032 90.00 90.00 90.00
Atoms (fractional coordinates):
Na 0.171 0.171 0.171
Na 0.171 0.829 0.829
Na 0.329 0.329 0.671
Na 0.329 0.671 0.329
Na 0.671 0.329 0.329
Na 0.671 0.671 0.671
Na 0.829 0.171 0.829
Na 0.829 0.829 0.171
Ga 0.000 0.250 0.500
Ga 0.000 0.750 0.500
Ga 0.250 0.500 0.000
Ga 0.500 0.000 0.250
Ga 0.500 0.000 0.750
Ga 0.750 0.500 0.000
Si 0.000 0.500 0.250
Si 0.000 0.500 0.750
Si 0.250 0.000 0.500
Si 0.500 0.250 0.000
Si 0.500 0.750 0.000
Si 0.750 0.000 0.500
B 0.000 0.000 0.000
B 0.500 0.500 0.500
H 0.079 0.079 0.921
H 0.079 0.921 0.079
H 0.421 0.421 0.421
H 0.421 0.579 0.579
H 0.579 0.421 0.579
H 0.579 0.579 0.421
H 0.921 0.079 0.079
H 0.921 0.921 0.921
O 0.074 0.366 0.651
O 0.074 0.634 0.349
O 0.134 0.426 0.151
O 0.134 0.574 0.849
O 0.151 0.134 0.426
O 0.151 0.866 0.574
O 0.349 0.074 0.634
O 0.349 0.926 0.366
O 0.366 0.349 0.926
O 0.366 0.651 0.074
O 0.426 0.151 0.134
O 0.426 0.849 0.866
O 0.574 0.151 0.866
O 0.574 0.849 0.134
O 0.634 0.349 0.074
O 0.634 0.651 0.926
O 0.651 0.074 0.366
O 0.651 0.926 0.634
O 0.849 0.134 0.574
O 0.849 0.866 0.426
O 0.866 0.426 0.849
O 0.866 0.574 0.151
O 0.926 0.366 0.349
O 0.926 0.634 0.651